# CsRb2SiTe | the Alexandria database | GGA-PBEsol | optimized geometry
# - Crystal system: tetragonal
# - Energy: -2.415 eV per atom
data_CsRb2SiTe
_chemical_formula_sum 'Cs1 Rb2 Si1 Te1'
_symmetry_space_group_name_H-M 'P 4/m m m'
_symmetry_Int_Tables_number 123
_symmetry_space_group_name_Hall '-P 4 2'
_cell_length_a 6.813
_cell_length_b 6.813
_cell_length_c 7.225
_cell_angle_alpha 90.00
_cell_angle_beta 90.00
_cell_angle_gamma 90.00
loop_
_atom_site_label
_atom_site_type_symbol
_atom_site_fract_x
_atom_site_fract_y
_atom_site_fract_z
Cs1 Cs 0.000 0.000 0.000
Rb1 Rb 0.000 0.500 0.500
Si1 Si 0.500 0.500 0.000
Te1 Te 0.000 0.000 0.500